[1]
Compound: ReBr3
Source: Alexandria via LeMat-Bulk
Functional: PBE-GGA
Structure: optimized geometry

Unit cell a=5.0815 b=5.0815 c=5.0815 alpha=60.00 beta=60.00 gamma=60.00
Fractional positions:
1 Re 0.0000 0.0000 0.0000
2 Br 0.2500 0.2500 0.2500
3 Br 0.5000 0.5000 0.5000
4 Br 0.7500 0.7500 0.7500

Output
- Distance to the lowest polymorph of the same formula: 1.188 eV/atom
- ΔE_f (raw): 1.229 eV/atom
- E_tot: -3.1381 eV/atom


[2]
Compound: ReBr3
Source: Alexandria via LeMat-Bulk
Functional: PBE-GGA
Structure: optimized geometry

Unit cell a=10.6304 b=10.6304 c=10.6304 alpha=18.26 beta=18.26 gamma=18.26
Fractional positions:
1 Re 0.0000 0.0000 0.0000
2 Br 0.3880 0.3880 0.3880
3 Br 0.5000 0.5000 0.5000
4 Br 0.6120 0.6120 0.6120

Output
- Distance to the lowest polymorph of the same formula: 0.450 eV/atom
- ΔE_f (raw): 0.490 eV/atom
- E_tot: -3.8766 eV/atom


[3]
Compound: ReBr3
Source: Alexandria via LeMat-Bulk
Functional: PBE-GGA
Structure: optimized geometry

Unit cell a=12.4251 b=12.4251 c=12.4251 alpha=14.18 beta=14.18 gamma=14.18
Fractional positions:
1 Re 0.0000 0.0000 0.0000
2 Br 0.0645 0.0645 0.0645
3 Br 0.5000 0.5000 0.5000
4 Br 0.9355 0.9355 0.9355

Output
- Distance to the lowest polymorph of the same formula: 0.490 eV/atom
- ΔE_f (raw): 0.530 eV/atom
- E_tot: -3.8364 eV/atom


[4]
Compound: ReBr3
Source: Alexandria via LeMat-Bulk
Functional: PBE-GGA
Structure: optimized geometry

Unit cell a=5.6457 b=5.6457 c=5.6457 alpha=115.57 beta=115.57 gamma=115.57
Fractional positions:
1 Re 0.0000 0.0000 0.0000
2 Br 0.0000 0.5000 0.5000
3 Br 0.5000 0.0000 0.5000
4 Br 0.5000 0.5000 0.0000

Output
- Distance to the lowest polymorph of the same formula: 1.294 eV/atom
- ΔE_f (raw): 1.334 eV/atom
- E_tot: -3.0326 eV/atom


[5]
Compound: ReBr3
Source: Alexandria via LeMat-Bulk
Functional: PBE-GGA
Structure: optimized geometry

Unit cell a=3.9242 b=3.9242 c=9.0326 alpha=97.70 beta=97.70 gamma=45.97
Fractional positions:
1 Re 0.0000 0.0000 0.0000
2 Br 0.2659 0.2659 0.8376
3 Br 0.5000 0.5000 0.5000
4 Br 0.7341 0.7341 0.1624

Output
- Distance to the lowest polymorph of the same formula: 0.321 eV/atom
- ΔE_f (raw): 0.361 eV/atom
- E_tot: -4.0055 eV/atom


[6]
Compound: Re2Br
Source: Alexandria via LeMat-Bulk
Functional: PBE-GGA
Structure: optimized geometry

Unit cell a=7.1203 b=7.1203 c=4.7762 alpha=90.00 beta=90.00 gamma=156.08
Fractional positions:
1 Re 0.0369 0.9631 0.7500
2 Re 0.3025 0.6975 0.2500
3 Re 0.6975 0.3025 0.7500
4 Re 0.9631 0.0369 0.2500
5 Br 0.3702 0.6298 0.7500
6 Br 0.6298 0.3702 0.2500

Output
- Distance to the lowest polymorph of the same formula: 0.877 eV/atom
- ΔE_f (raw): 1.187 eV/atom
- E_tot: -7.6696 eV/atom


[7]
Compound: ReBr3
Source: Alexandria via LeMat-Bulk
Functional: PBE-GGA
Structure: optimized geometry

Unit cell a=6.7250 b=6.7250 c=6.7250 alpha=150.46 beta=68.86 gamma=119.38
Fractional positions:
1 Re 0.0000 0.0000 0.0000
2 Br 0.0112 0.3602 0.6510
3 Br 0.2828 0.7828 0.5000
4 Br 0.7092 0.3602 0.3490

Output
- Distance to the lowest polymorph of the same formula: 0.163 eV/atom
- ΔE_f (raw): 0.203 eV/atom
- E_tot: -4.1633 eV/atom


[8]
Compound: Re2Br
Source: Alexandria via LeMat-Bulk
Functional: PBE-GGA
Structure: optimized geometry

Unit cell a=4.2747 b=4.2747 c=6.8996 alpha=90.00 beta=90.00 gamma=120.00
Fractional positions:
1 Re 0.3333 0.6667 0.0596
2 Re 0.3333 0.6667 0.4404
3 Re 0.6667 0.3333 0.5596
4 Re 0.6667 0.3333 0.9404
5 Br 0.0000 0.0000 0.2500
6 Br 0.0000 0.0000 0.7500

Output
- Distance to the lowest polymorph of the same formula: 0.906 eV/atom
- ΔE_f (raw): 1.216 eV/atom
- E_tot: -7.6405 eV/atom


[9]
Compound: ReBr3
Source: Alexandria via LeMat-Bulk
Functional: PBE-GGA
Structure: optimized geometry

Unit cell a=7.1576 b=7.1576 c=3.6726 alpha=90.00 beta=90.00 gamma=137.80
Fractional positions:
1 Re 0.0000 0.0000 0.0000
2 Br 0.1333 0.8667 0.5000
3 Br 0.5000 0.5000 0.0000
4 Br 0.8667 0.1333 0.5000

Output
- Distance to the lowest polymorph of the same formula: 0.024 eV/atom
- ΔE_f (raw): 0.065 eV/atom
- E_tot: -4.3021 eV/atom


[10]
Compound: ReBr3
Source: Alexandria via LeMat-Bulk
Functional: PBE-GGA
Structure: optimized geometry

Unit cell a=6.7856 b=6.7856 c=6.7856 alpha=114.61 beta=114.61 gamma=99.62
Fractional positions:
1 Re 0.0000 0.0000 0.0000
2 Re 0.7500 0.2500 0.5000
3 Br 0.0257 0.6250 0.9007
4 Br 0.2500 0.7500 0.5000
5 Br 0.3750 0.2757 0.4007
6 Br 0.5000 0.5000 0.0000
7 Br 0.7243 0.1250 0.0993
8 Br 0.8750 0.9743 0.5993

Output
- Distance to the lowest polymorph of the same formula: 0.581 eV/atom
- ΔE_f (raw): 0.621 eV/atom
- E_tot: -3.7452 eV/atom


[11]
Compound: ReBr3
Source: Alexandria via LeMat-Bulk
Functional: PBE-GGA
Structure: optimized geometry

Unit cell a=9.1708 b=9.1708 c=3.4257 alpha=90.00 beta=90.00 gamma=97.35
Fractional positions:
1 Re 0.0589 0.9411 0.7500
2 Re 0.9411 0.0589 0.2500
3 Br 0.0436 0.3113 0.2500
4 Br 0.3113 0.0436 0.7500
5 Br 0.4164 0.5836 0.7500
6 Br 0.5836 0.4164 0.2500
7 Br 0.6887 0.9564 0.2500
8 Br 0.9564 0.6887 0.7500

Output
- Distance to the lowest polymorph of the same formula: 0.000 eV/atom
- ΔE_f (raw): 0.040 eV/atom
- E_tot: -4.3263 eV/atom


[12]
Compound: Re2Br
Source: Alexandria via LeMat-Bulk
Functional: PBE-GGA
Structure: optimized geometry

Unit cell a=10.4398 b=10.4398 c=3.9440 alpha=90.00 beta=90.00 gamma=158.24
Fractional positions:
1 Re 0.1751 0.8249 0.7500
2 Re 0.2498 0.7502 0.2500
3 Re 0.7502 0.2498 0.7500
4 Re 0.8249 0.1751 0.2500
5 Br 0.4042 0.5958 0.7500
6 Br 0.5958 0.4042 0.2500

Output
- Distance to the lowest polymorph of the same formula: 0.258 eV/atom
- ΔE_f (raw): 0.568 eV/atom
- E_tot: -8.2884 eV/atom


[13]
Compound: ReBr3
Source: Alexandria via LeMat-Bulk
Functional: PBE-GGA
Structure: optimized geometry

Unit cell a=3.2298 b=3.2298 c=10.2469 alpha=90.00 beta=90.00 gamma=120.00
Fractional positions:
1 Re 0.0000 0.0000 0.0000
2 Br 0.0000 0.0000 0.5000
3 Br 0.3333 0.6667 0.1865
4 Br 0.3333 0.6667 0.8135

Output
- Distance to the lowest polymorph of the same formula: 0.627 eV/atom
- ΔE_f (raw): 0.667 eV/atom
- E_tot: -3.6995 eV/atom


[14]
Compound: Re2Br
Source: Alexandria via LeMat-Bulk
Functional: PBE-GGA
Structure: optimized geometry

Unit cell a=4.5366 b=4.5366 c=5.4295 alpha=90.00 beta=90.00 gamma=120.00
Fractional positions:
1 Re 0.0000 0.0000 0.0000
2 Re 0.0000 0.0000 0.5000
3 Re 0.3333 0.6667 0.2500
4 Re 0.6667 0.3333 0.7500
5 Br 0.3333 0.6667 0.7500
6 Br 0.6667 0.3333 0.2500

Output
- Distance to the lowest polymorph of the same formula: 1.452 eV/atom
- ΔE_f (raw): 1.763 eV/atom
- E_tot: -7.0938 eV/atom


[15]
Compound: Re2Br
Source: Alexandria via LeMat-Bulk
Functional: PBE-GGA
Structure: optimized geometry

Unit cell a=5.8013 b=5.8013 c=7.2296 alpha=115.62 beta=115.62 gamma=30.03
Fractional positions:
1 Re 0.0777 0.0777 0.2149
2 Re 0.3630 0.3630 0.0236
3 Re 0.6370 0.6370 0.9764
4 Re 0.9223 0.9223 0.7851
5 Br 0.3444 0.3444 0.4114
6 Br 0.6556 0.6556 0.5886

Output
- Distance to the lowest polymorph of the same formula: 0.309 eV/atom
- ΔE_f (raw): 0.619 eV/atom
- E_tot: -8.2376 eV/atom


[16]
Compound: Re8Br
Source: Alexandria via LeMat-Bulk
Functional: PBE-GGA
Structure: optimized geometry

Unit cell a=6.3066 b=6.3066 c=6.3066 alpha=95.89 beta=95.89 gamma=142.62
Fractional positions:
1 Re 0.0000 0.3469 0.3469
2 Re 0.0000 0.6531 0.6531
3 Re 0.3142 0.3142 0.6285
4 Re 0.3142 0.6858 0.0000
5 Re 0.3469 0.0000 0.3469
6 Re 0.6531 0.0000 0.6531
7 Re 0.6858 0.3142 0.0000
8 Re 0.6858 0.6858 0.3715
9 Br 0.0000 0.0000 0.0000

Output
- ΔE_f (raw): 0.474 eV/atom
- E_tot: -10.7766 eV/atom


[17]
Compound: Re2Br13
Source: Alexandria via LeMat-Bulk
Functional: PBE-GGA
Structure: optimized geometry

Unit cell a=6.8780 b=9.4037 c=9.4594 alpha=104.83 beta=106.85 gamma=104.29
Fractional positions:
1 Re 0.2040 0.2035 0.3575
2 Re 0.7960 0.7965 0.6425
3 Br 0.0056 0.7090 0.4896
4 Br 0.0220 0.3049 0.1557
5 Br 0.0579 0.0559 0.7765
6 Br 0.3591 0.4541 0.0452
7 Br 0.4111 0.1434 0.5770
8 Br 0.4343 0.1474 0.2121
9 Br 0.5000 0.5000 0.5000
10 Br 0.5657 0.8526 0.7879
11 Br 0.5889 0.8566 0.4230
12 Br 0.6409 0.5459 0.9548
13 Br 0.9421 0.9441 0.2235
14 Br 0.9780 0.6951 0.8443
15 Br 0.9944 0.2910 0.5104

Output
- ΔE_f (raw): -0.150 eV/atom
- E_tot: -3.2598 eV/atom


[18]
Compound: Re4Br
Source: Alexandria via LeMat-Bulk
Functional: PBE-GGA
Structure: optimized geometry

Unit cell a=4.4840 b=4.4840 c=4.4840 alpha=90.00 beta=90.00 gamma=90.00
Fractional positions:
1 Re 0.0000 0.0000 0.0000
2 Re 0.0000 0.5000 0.5000
3 Re 0.5000 0.0000 0.5000
4 Re 0.5000 0.5000 0.0000
5 Br 0.5000 0.5000 0.5000

Output
- ΔE_f (raw): 2.592 eV/atom
- E_tot: -7.7012 eV/atom


[19]
Compound: Re2Br
Source: Alexandria via LeMat-Bulk
Functional: PBE-GGA
Structure: optimized geometry

Unit cell a=4.0871 b=4.0871 c=3.1170 alpha=90.00 beta=90.00 gamma=90.00
Fractional positions:
1 Re 0.0000 0.5000 0.0000
2 Re 0.5000 0.0000 0.0000
3 Br 0.0000 0.0000 0.5000

Output
- Distance to the lowest polymorph of the same formula: 1.992 eV/atom
- ΔE_f (raw): 2.302 eV/atom
- E_tot: -6.5545 eV/atom


[20]
Compound: ReBr3
Source: Alexandria via LeMat-Bulk
Functional: PBE-GGA
Structure: optimized geometry

Unit cell a=4.6250 b=3.3393 c=6.8168 alpha=90.00 beta=91.43 gamma=90.00
Fractional positions:
1 Re 0.0000 0.0000 0.0000
2 Br 0.0000 0.5000 0.5000
3 Br 0.5000 0.0000 0.5000
4 Br 0.5000 0.5000 0.0000

Output
- Distance to the lowest polymorph of the same formula: 1.205 eV/atom
- ΔE_f (raw): 1.245 eV/atom
- E_tot: -3.1214 eV/atom


[21]
Compound: Re2Br
Source: Alexandria via LeMat-Bulk
Functional: PBE-GGA
Structure: optimized geometry

Unit cell a=5.0687 b=5.0687 c=9.9818 alpha=94.59 beta=94.59 gamma=35.24
Fractional positions:
1 Re 0.0628 0.0628 0.1240
2 Re 0.3390 0.3390 0.0646
3 Re 0.6610 0.6610 0.9354
4 Re 0.9372 0.9372 0.8760
5 Br 0.3825 0.3825 0.6701
6 Br 0.6175 0.6175 0.3299

Output
- Distance to the lowest polymorph of the same formula: 0.135 eV/atom
- ΔE_f (raw): 0.445 eV/atom
- E_tot: -8.4116 eV/atom


[22]
Compound: ReBr3
Source: Alexandria via LeMat-Bulk
Functional: PBE-GGA
Structure: optimized geometry

Unit cell a=6.5398 b=11.7690 c=5.8781 alpha=90.00 beta=90.00 gamma=90.00
Fractional positions:
1 Re 0.1235 0.2500 0.0636
2 Re 0.3765 0.7500 0.5636
3 Re 0.6235 0.2500 0.4364
4 Re 0.8765 0.7500 0.9364
5 Br 0.0385 0.7500 0.3213
6 Br 0.1526 0.6132 0.7976
7 Br 0.1526 0.8868 0.7976
8 Br 0.3474 0.1132 0.2976
9 Br 0.3474 0.3868 0.2976
10 Br 0.4615 0.2500 0.8213
11 Br 0.5385 0.7500 0.1787
12 Br 0.6526 0.6132 0.7024
13 Br 0.6526 0.8868 0.7024
14 Br 0.8474 0.1132 0.2024
15 Br 0.8474 0.3868 0.2024
16 Br 0.9615 0.2500 0.6787

Output
- Distance to the lowest polymorph of the same formula: 0.234 eV/atom
- ΔE_f (raw): 0.275 eV/atom
- E_tot: -4.0919 eV/atom


[23]
Compound: ReBr3
Source: Alexandria via LeMat-Bulk
Functional: PBE-GGA
Structure: optimized geometry

Unit cell a=4.6541 b=4.6541 c=4.6541 alpha=90.00 beta=90.00 gamma=90.00
Fractional positions:
1 Re 0.0000 0.0000 0.0000
2 Br 0.0000 0.5000 0.5000
3 Br 0.5000 0.0000 0.5000
4 Br 0.5000 0.5000 0.0000

Output
- Distance to the lowest polymorph of the same formula: 1.414 eV/atom
- ΔE_f (raw): 1.454 eV/atom
- E_tot: -2.9122 eV/atom


[24]
Compound: Re2Br
Source: Alexandria via LeMat-Bulk
Functional: PBE-GGA
Structure: optimized geometry

Unit cell a=10.0962 b=10.0962 c=4.2075 alpha=90.00 beta=90.00 gamma=162.76
Fractional positions:
1 Re 0.0365 0.9636 0.7500
2 Re 0.4244 0.5756 0.7500
3 Re 0.5756 0.4244 0.2500
4 Re 0.9636 0.0365 0.2500
5 Br 0.3362 0.6638 0.2500
6 Br 0.6638 0.3362 0.7500

Output
- Distance to the lowest polymorph of the same formula: 0.000 eV/atom
- ΔE_f (raw): 0.310 eV/atom
- E_tot: -8.5462 eV/atom


[25]
Compound: Re2Br
Source: Alexandria via LeMat-Bulk
Functional: PBE-GGA
Structure: optimized geometry

Unit cell a=8.8587 b=8.8587 c=5.7312 alpha=99.00 beta=99.00 gamma=19.70
Fractional positions:
1 Re 0.2040 0.2040 0.0921
2 Re 0.2099 0.2099 0.6147
3 Re 0.7901 0.7901 0.3853
4 Re 0.7960 0.7960 0.9079
5 Br 0.4068 0.4068 0.2044
6 Br 0.5932 0.5932 0.7956

Output
- Distance to the lowest polymorph of the same formula: 0.235 eV/atom
- ΔE_f (raw): 0.545 eV/atom
- E_tot: -8.3113 eV/atom


[26]
Compound: Re2Br
Source: Alexandria via LeMat-Bulk
Functional: PBE-GGA
Structure: optimized geometry

Unit cell a=4.8132 b=4.8132 c=4.8132 alpha=144.59 beta=130.86 gamma=62.02
Fractional positions:
1 Re 0.1747 0.1747 0.0000
2 Re 0.8253 0.8253 0.0000
3 Br 0.5000 0.5000 0.0000

Output
- Distance to the lowest polymorph of the same formula: 0.983 eV/atom
- ΔE_f (raw): 1.294 eV/atom
- E_tot: -7.5628 eV/atom


[27]
Compound: ReBr3
Source: Alexandria via LeMat-Bulk
Functional: PBE-GGA
Structure: optimized geometry

Unit cell a=7.5355 b=7.5355 c=7.5355 alpha=155.80 beta=141.76 gamma=45.77
Fractional positions:
1 Re 0.0000 0.0000 0.0000
2 Br 0.1472 0.6472 0.5000
3 Br 0.5000 0.5000 0.0000
4 Br 0.8528 0.3528 0.5000

Output
- Distance to the lowest polymorph of the same formula: 0.326 eV/atom
- ΔE_f (raw): 0.366 eV/atom
- E_tot: -4.0007 eV/atom